VASP calculation (PBEsol) on crystalline Tm2S3O12 at its relaxed geometry.

Results
**Calculated volume**: 1064.67 Å³/cell
**Crystal system**: orthorhombic
**SG**: Pbcn, No. 60
**Raw total energy**: -7.28 eV per atom
**Formation energy from raw total energies**: -2.223 eV/atom
**Total magnetic moment**: 0.0 μB per formula unit
**Calculated density**: 3.906 g/cm³

```
Tm2S3O12
1.0
-6.716 -0.129 6.159
-1.485 -8.897 -1.806
8.336 -3.223 9.023
O Tm S
48 8 12
Direct
0.947 0.408 0.854 O
0.334 0.926 0.541 O
0.834 0.574 0.041 O
0.166 0.426 0.959 O
0.834 0.926 0.959 O
0.559 0.668 0.925 O
0.053 0.592 0.146 O
0.642 0.264 0.330 O
0.826 0.985 0.775 O
0.053 0.908 0.854 O
0.941 0.168 0.575 O
0.674 0.485 0.725 O
0.666 0.426 0.541 O
0.127 0.149 0.440 O
0.447 0.408 0.646 O
0.858 0.736 0.830 O
0.674 0.015 0.275 O
0.142 0.236 0.830 O
0.373 0.649 0.060 O
0.441 0.332 0.075 O
0.826 0.515 0.225 O
0.334 0.574 0.459 O
0.873 0.649 0.440 O
0.642 0.236 0.670 O
0.873 0.851 0.560 O
0.553 0.592 0.354 O
0.941 0.332 0.425 O
0.326 0.515 0.275 O
0.059 0.668 0.575 O
0.441 0.168 0.925 O
0.358 0.764 0.330 O
0.059 0.832 0.425 O
0.553 0.908 0.646 O
0.559 0.832 0.075 O
0.373 0.851 0.940 O
0.947 0.092 0.146 O
0.127 0.351 0.560 O
0.627 0.149 0.060 O
0.174 0.015 0.225 O
0.666 0.074 0.459 O
0.858 0.764 0.170 O
0.447 0.092 0.354 O
0.358 0.736 0.670 O
0.174 0.485 0.775 O
0.326 0.985 0.725 O
0.166 0.074 0.041 O
0.142 0.264 0.170 O
0.627 0.351 0.940 O
0.750 0.964 0.117 Tm
0.250 0.536 0.617 Tm
0.250 0.464 0.117 Tm
0.750 0.036 0.617 Tm
0.750 0.536 0.883 Tm
0.250 0.036 0.883 Tm
0.250 0.964 0.383 Tm
0.750 0.464 0.383 Tm
0.393 0.611 0.355 S
0.607 0.111 0.355 S
0.107 0.111 0.145 S
0.033 0.250 0.500 S
0.607 0.389 0.645 S
0.533 0.250 0.000 S
0.893 0.611 0.145 S
0.467 0.750 0.000 S
0.393 0.889 0.645 S
0.967 0.750 0.500 S
0.107 0.389 0.855 S
0.893 0.889 0.855 S
```